Entry 1:
## Na4Mg3 (PBE)

Data for a relaxed Na4Mg3 crystal.

Output
- Relative energy among the computed polymorphs: 0.00 eV per formula unit
- Calculated formation energy: 0.071 eV per atom
- Energy: -1.37 eV/atom
- Space-group type: No. 191
- DOS at the Fermi energy: 0.350 states/eV/atom

abc: 6.1673 6.1673 6.4779
angles: 90.00 90.00 120.00
Element x y z (fractional)
Na  0.0000  0.0000  0.2493
Na  0.3333  0.6667  0.5000
Na  0.0000  0.0000  0.7507
Na  0.6667  0.3333  0.5000
Mg  0.5000  0.5000  0.0000
Mg  0.0000  0.5000  0.0000
Mg  0.5000  0.0000  0.0000

=====

Entry 2:
## Na2Mg3 (PBE)

Data for a relaxed Na2Mg3 crystal.

Output
- Relative energy among the computed polymorphs: 1.14 eV per formula unit
- Calculated formation energy: 0.311 eV per atom
- Energy: -1.17 eV/atom
- Space-group type: No. 164
- DOS at the Fermi energy: 0.518 states/eV/atom

abc: 5.2516 5.2516 6.5267
angles: 90.00 90.00 120.00
Element x y z (fractional)
Mg  0.3333  0.6667  0.3585
Mg  0.6667  0.3333  0.6415
Mg  0.0000  0.0000  0.0000
Na  0.6667  0.3333  0.1538
Na  0.3333  0.6667  0.8462

=====

Entry 3:
## NaMg5 (PBE)

Data for a relaxed NaMg5 crystal.

Output
- Relative energy among the computed polymorphs: 0.40 eV per formula unit
- Calculated formation energy: 0.108 eV per atom
- Energy: -1.44 eV/atom
- Space-group type: No. 191
- DOS at the Fermi energy: 0.511 states/eV/atom

abc: 6.0399 6.0399 5.1495
angles: 90.00 90.00 120.00
Element x y z (fractional)
Mg  0.3333  0.6667  0.0000
Mg  0.5000  0.5000  0.5000
Mg  0.0000  0.5000  0.5000
Mg  0.5000  0.0000  0.5000
Mg  0.6667  0.3333  0.0000
Na  0.0000  0.0000  0.0000

=====

Entry 4:
## NaMg (PBE)

Data for a relaxed NaMg crystal.

Output
- Calculated formation energy: 0.094 eV per atom
- Energy: -1.36 eV/atom
- Space-group type: No. 59
- DOS at the Fermi energy: 0.255 states/eV/atom

abc: 3.3250 6.2139 16.1555
angles: 90.00 90.00 90.00
Element x y z (fractional)
Na  0.0000  0.2552  0.0000
Na  0.0000  0.9228  0.6649
Na  0.0000  0.9228  0.3351
Na  0.5000  0.0772  0.1649
Na  0.5000  0.7448  0.5000
Na  0.5000  0.0772  0.8351
Mg  0.5000  0.4205  0.6686
Mg  0.0000  0.2686  0.5000
Mg  0.0000  0.5795  0.8314
Mg  0.5000  0.4205  0.3314
Mg  0.0000  0.5795  0.1686
Mg  0.5000  0.7314  0.0000

=====

Entry 5:
## NaMg4 (PBE)

Data for a relaxed NaMg4 crystal.

Output
- Relative energy among the computed polymorphs: 0.00 eV per formula unit
- Calculated formation energy: 0.071 eV per atom
- Energy: -1.47 eV/atom
- Space-group type: No. 87
- DOS at the Fermi energy: 0.326 states/eV/atom

abc: 5.6574 5.6574 5.6574
angles: 99.88 99.88 131.06
Element x y z (fractional)
Mg  0.4072  0.8039  0.2111
Mg  0.5928  0.1961  0.7889
Mg  0.8039  0.5928  0.3968
Mg  0.1961  0.4072  0.6032
Na  0.0000  0.0000  0.0000

=====

Entry 6:
## NaMg5 (PBE)

Data for a relaxed NaMg5 crystal.

Output
- Relative energy among the computed polymorphs: 0.06 eV per formula unit
- Calculated formation energy: 0.052 eV per atom
- Energy: -1.50 eV/atom
- Space-group type: No. 189
- DOS at the Fermi energy: 0.400 states/eV/atom

abc: 5.6284 5.6284 5.3279
angles: 90.00 90.00 120.00
Element x y z (fractional)
Mg  0.6667  0.3333  0.5000
Mg  0.6529  0.0000  0.0000
Mg  0.3471  0.3471  0.0000
Mg  0.3333  0.6667  0.5000
Mg  0.0000  0.6529  0.0000
Na  0.0000  0.0000  0.5000

=====

Entry 7:
## Na3Mg2 (PBE)

Data for a relaxed Na3Mg2 crystal.

Output
- Relative energy among the computed polymorphs: 0.21 eV per formula unit
- Calculated formation energy: 0.121 eV per atom
- Energy: -1.31 eV/atom
- Space-group type: No. 43
- DOS at the Fermi energy: 0.415 states/eV/atom

abc: 14.6928 12.0728 8.6572
angles: 88.68 55.23 36.09
Element x y z (fractional)
Na  0.8964  0.3207  0.4280
Na  0.8220  0.8951  0.3536
Na  0.3549  0.4280  0.3207
Na  0.9293  0.3536  0.8951
Na  0.9366  0.0634  0.0634
Na  0.1866  0.3134  0.3134
Mg  0.2601  0.8011  0.3868
Mg  0.5520  0.3868  0.8011
Mg  0.4489  0.9899  0.6980
Mg  0.8632  0.6980  0.9899

=====

Entry 8:
## NaMg (PBE)

Data for a relaxed NaMg crystal.

Output
- Calculated formation energy: 0.497 eV per atom
- Energy: -0.96 eV/atom
- Space-group type: No. 217
- DOS at the Fermi energy: 0.758 states/eV/atom

abc: 10.0349 10.0349 10.0349
angles: 90.00 90.00 90.00
Element x y z (fractional)
Na  0.2931  0.2931  0.7069
Na  0.7931  0.7931  0.2069
Na  0.7069  0.7069  0.7069
Na  0.7931  0.2069  0.7931
Na  0.2069  0.7931  0.7931
Na  0.7069  0.2931  0.2931
Na  0.2931  0.7069  0.2931
Na  0.2069  0.2069  0.2069
Mg  0.8919  0.1081  0.1081
Mg  0.3919  0.6081  0.6081
Mg  0.6081  0.3919  0.6081
Mg  0.1081  0.8919  0.1081
Mg  0.6081  0.6081  0.3919
Mg  0.3919  0.3919  0.3919
Mg  0.8919  0.8919  0.8919
Mg  0.1081  0.1081  0.8919

=====

Entry 9:
## NaMg2 (PBE)

Data for a relaxed NaMg2 crystal.

Output
- Calculated formation energy: 0.268 eV per atom
- Energy: -1.24 eV/atom
- Space-group type: No. 140
- DOS at the Fermi energy: 0.413 states/eV/atom

abc: 6.0710 6.0710 6.0710
angles: 102.98 102.98 123.42
Element x y z (fractional)
Na  0.7500  0.7500  0.0000
Na  0.2500  0.2500  0.0000
Mg  0.8585  0.6415  0.5000
Mg  0.3585  0.8585  0.2170
Mg  0.6415  0.1415  0.7830
Mg  0.1415  0.3585  0.5000

=====

Entry 10:
## Na3Mg2 (PBE)

Data for a relaxed Na3Mg2 crystal.

Output
- Relative energy among the computed polymorphs: 0.46 eV per formula unit
- Calculated formation energy: 0.171 eV per atom
- Energy: -1.26 eV/atom
- Space-group type: No. 166
- DOS at the Fermi energy: 0.420 states/eV/atom

abc: 6.6591 6.6591 9.2397
angles: 68.88 68.88 60.00
Element x y z (fractional)
Na  0.7499  0.7501  0.2500
Na  0.7500  0.2501  0.7500
Na  0.2500  0.7499  0.2500
Na  0.2501  0.2499  0.7500
Na  0.7501  0.2500  0.2500
Na  0.2499  0.7500  0.7500
Mg  0.8093  0.8093  0.5722
Mg  0.1907  0.1907  0.4278
Mg  0.3093  0.3093  0.0722
Mg  0.6907  0.6907  0.9278

=====

Entry 11:
## NaMg (PBE)

Data for a relaxed NaMg crystal.

Output
- Calculated formation energy: 0.110 eV per atom
- Energy: -1.35 eV/atom
- Space-group type: No. 65
- DOS at the Fermi energy: 0.519 states/eV/atom

abc: 3.2491 5.6835 3.2467
angles: 90.00 112.20 90.00
Element x y z (fractional)
Na  0.0000  0.0000  0.0000
Mg  0.5000  0.5000  0.5000

=====

Entry 12:
## Na5Mg4 (PBE)

Data for a relaxed Na5Mg4 crystal.

Output
- Relative energy among the computed polymorphs: 0.56 eV per formula unit
- Calculated formation energy: 0.135 eV per atom
- Energy: -1.31 eV/atom
- Space-group type: No. 193
- DOS at the Fermi energy: 0.575 states/eV/atom

abc: 9.6459 9.6459 6.6004
angles: 90.00 90.00 120.00
Element x y z (fractional)
Mg  0.7147  0.7147  0.2500
Mg  0.2853  0.0000  0.2500
Mg  0.0000  0.0000  0.5000
Mg  0.7147  0.0000  0.7500
Mg  0.0000  0.7147  0.7500
Mg  0.0000  0.0000  0.0000
Mg  0.0000  0.2853  0.2500
Mg  0.2853  0.2853  0.7500
Na  0.6667  0.3333  0.0000
Na  0.6667  0.3333  0.5000
Na  0.3333  0.6667  0.0000
Na  0.0000  0.6333  0.2500
Na  0.6333  0.6333  0.7500
Na  0.3667  0.0000  0.7500
Na  0.3333  0.6667  0.5000
Na  0.3667  0.3667  0.2500
Na  0.0000  0.3667  0.7500
Na  0.6333  0.0000  0.2500

=====

Entry 13:
## NaMg2 (PBE)

Data for a relaxed NaMg2 crystal.

Output
- Calculated formation energy: 0.522 eV per atom
- Energy: -0.98 eV/atom
- Space-group type: No. 205
- DOS at the Fermi energy: 0.685 states/eV/atom

abc: 7.3226 7.3226 7.3226
angles: 90.00 90.00 90.00
Element x y z (fractional)
Mg  0.6223  0.6223  0.6223
Mg  0.1223  0.6223  0.8777
Mg  0.3777  0.3777  0.3777
Mg  0.1223  0.8777  0.3777
Mg  0.6223  0.8777  0.1223
Mg  0.8777  0.3777  0.1223
Mg  0.8777  0.1223  0.6223
Mg  0.3777  0.1223  0.8777
Na  0.0000  0.0000  0.0000
Na  0.0000  0.5000  0.5000
Na  0.5000  0.0000  0.5000
Na  0.5000  0.5000  0.0000

=====

Entry 14:
## NaMg2 (PBE)

Data for a relaxed NaMg2 crystal.

Output
- Calculated formation energy: 0.401 eV per atom
- Energy: -1.10 eV/atom
- Space-group type: No. 123
- DOS at the Fermi energy: 0.496 states/eV/atom

abc: 5.2618 5.2618 3.5716
angles: 90.00 90.00 90.00
Element x y z (fractional)
Na  0.0000  0.0000  0.0000
Mg  0.5000  0.0000  0.5000
Mg  0.0000  0.5000  0.5000

=====

Entry 15:
## NaMg5 (PBE)

Data for a relaxed NaMg5 crystal.

Output
- Relative energy among the computed polymorphs: 0.01 eV per formula unit
- Calculated formation energy: 0.044 eV per atom
- Energy: -1.50 eV/atom
- Space-group type: No. 8
- DOS at the Fermi energy: 0.480 states/eV/atom

abc: 6.2253 6.2253 7.7873
angles: 76.33 76.33 29.95
Element x y z (fractional)
Mg  0.3309  0.3309  0.3408
Mg  0.2707  0.2707  0.9429
Mg  0.9448  0.9448  0.6100
Mg  0.6165  0.6165  0.2824
Mg  0.6726  0.6726  0.6575
Na  0.9979  0.9979  0.9997

=====

Entry 16:
## NaMg (PBE)

Data for a relaxed NaMg crystal.

Output
- Calculated formation energy: 0.295 eV per atom
- Energy: -1.16 eV/atom
- Space-group type: No. 194
- DOS at the Fermi energy: 0.719 states/eV/atom

abc: 5.3108 5.3108 5.8522
angles: 90.00 90.00 120.00
Element x y z (fractional)
Na  0.6667  0.3333  0.7500
Na  0.3333  0.6667  0.2500
Mg  0.0000  0.0000  0.5000
Mg  0.0000  0.0000  0.0000

=====

Entry 17:
## NaMg2 (PBE)

Data for a relaxed NaMg2 crystal.

Output
- Calculated formation energy: 0.096 eV per atom
- Energy: -1.41 eV/atom
- Space-group type: No. 62
- DOS at the Fermi energy: 0.272 states/eV/atom

abc: 6.6704 4.7968 9.8412
angles: 90.00 90.00 90.00
Element x y z (fractional)
Mg  0.8569  0.7500  0.7387
Mg  0.8936  0.7500  0.4140
Mg  0.6431  0.2500  0.2387
Mg  0.1064  0.2500  0.5860
Mg  0.6064  0.2500  0.9140
Mg  0.1431  0.2500  0.2613
Mg  0.3569  0.7500  0.7613
Mg  0.3936  0.7500  0.0860
Na  0.6127  0.2500  0.5804
Na  0.8873  0.7500  0.0804
Na  0.1127  0.2500  0.9196
Na  0.3873  0.7500  0.4196

=====

Entry 18:
## NaMg (PBE)

Data for a relaxed NaMg crystal.

Output
- Calculated formation energy: 0.075 eV per atom
- Energy: -1.38 eV/atom
- Space-group type: No. 67
- DOS at the Fermi energy: 0.384 states/eV/atom

abc: 3.2561 3.2561 11.0653
angles: 90.00 90.00 107.25
Element x y z (fractional)
Na  0.5000  0.5000  0.7338
Na  0.0000  0.0000  0.0162
Mg  0.0000  0.0000  0.4852
Mg  0.5000  0.5000  0.2648

=====

Entry 19:
## NaMg2 (PBE)

Data for a relaxed NaMg2 crystal.

Output
- Calculated formation energy: 0.065 eV per atom
- Energy: -1.44 eV/atom
- Space-group type: No. 194
- DOS at the Fermi energy: 0.285 states/eV/atom

abc: 6.1712 6.1712 10.1415
angles: 90.00 90.00 120.00
Element x y z (fractional)
Na  0.3333  0.6667  0.0618
Na  0.6667  0.3333  0.9382
Na  0.3333  0.6667  0.4382
Na  0.6667  0.3333  0.5618
Mg  0.3355  0.1677  0.2500
Mg  0.0000  0.0000  0.5000
Mg  0.8323  0.1677  0.2500
Mg  0.6645  0.8323  0.7500
Mg  0.0000  0.0000  0.0000
Mg  0.1677  0.3355  0.7500
Mg  0.1677  0.8323  0.7500
Mg  0.8323  0.6645  0.2500

=====

Entry 20:
## NaMg (PBE)

Data for a relaxed NaMg crystal.

Output
- Calculated formation energy: 0.259 eV per atom
- Energy: -1.20 eV/atom
- Space-group type: No. 70
- DOS at the Fermi energy: 0.435 states/eV/atom

abc: 12.0672 9.1980 9.1048
angles: 90.00 90.00 90.00
Element x y z (fractional)
Mg  0.0000  0.5000  0.8354
Mg  0.5000  0.0000  0.1646
Mg  0.7500  0.2500  0.9146
Mg  0.2500  0.2500  0.0854
Mg  0.7500  0.7500  0.4146
Mg  0.2500  0.7500  0.5854
Mg  0.2500  0.2500  0.4146
Mg  0.0000  0.0000  0.6646
Mg  0.2500  0.7500  0.9146
Mg  0.5000  0.5000  0.6646
Mg  0.7500  0.7500  0.0854
Mg  0.0000  0.5000  0.1646
Mg  0.7500  0.2500  0.5854
Mg  0.5000  0.5000  0.3354
Mg  0.5000  0.0000  0.8354
Mg  0.0000  0.0000  0.3354
Na  0.2500  0.5758  0.2500
Na  0.0000  0.6742  0.5000
Na  0.5000  0.8258  0.5000
Na  0.5000  0.6742  0.0000
Na  0.5000  0.3258  0.0000
Na  0.0000  0.8258  0.0000
Na  0.2500  0.9242  0.2500
Na  0.7500  0.4242  0.2500
Na  0.0000  0.3258  0.5000
Na  0.7500  0.9242  0.7500
Na  0.7500  0.0758  0.2500
Na  0.5000  0.1742  0.5000
Na  0.0000  0.1742  0.0000
Na  0.2500  0.0758  0.7500
Na  0.2500  0.4242  0.7500
Na  0.7500  0.5758  0.7500